A relaxed structure of Na5Cr3F14, computed with GGA+U.

Structure (extended XYZ):
```
44
Lattice="7.346 0.000 0.000 0.000 7.427 -0.007 0.000 7.263 10.629" Properties=species:S:1:pos:R:3 pbc="T T T"
Na 5.879 12.794 7.934
Na 3.673 3.714 -0.004
Na 1.804 9.358 8.076
Na 5.140 9.163 2.620
Na 5.541 5.332 2.546
Na 1.467 1.896 2.688
Na 5.477 8.964 7.860
Na 0.000 7.345 5.311
Na 1.868 5.727 2.762
Na 2.206 5.528 8.002
Cr 0.000 0.000 0.000
Cr 0.000 3.632 5.315
Cr 3.673 3.632 5.315
Cr 0.000 3.714 -0.004
Cr 3.673 7.345 5.311
Cr 3.673 0.000 0.000
F 0.465 4.949 6.663
F 3.648 5.939 1.256
F 1.853 10.595 4.773
F 0.570 9.109 10.532
F 5.493 4.096 5.849
F 4.871 7.158 3.801
F 6.776 5.581 0.090
F 2.475 7.532 6.821
F 7.321 5.120 4.052
F 5.526 0.464 0.535
F 1.820 14.226 10.087
F 5.205 7.030 6.461
F 1.198 3.901 1.507
F 3.251 10.990 7.177
F 6.881 9.742 3.959
F 3.697 8.751 9.366
F 1.532 11.292 9.476
F 4.095 3.700 3.445
F 6.148 10.790 9.115
F 3.103 5.478 5.218
F 0.025 9.571 6.570
F 3.208 1.317 1.349
F 6.924 7.332 8.759
F 2.141 7.660 4.161
F 0.422 7.358 1.863
F 5.814 3.399 1.146
F 4.138 13.373 9.273
F 4.243 9.213 5.404
```

Results
- M_tot: 0.409 μB per atom
- Total DFT energy (no corrections): -5.31 eV/atom
- V: 580 Å³/cell
- Crystal system: monoclinic